[1]
DFT (PBE) results for an optimized crystal structure of Ho4AlZn2. Values from VASP.

The structure in Quantum ESPRESSO input format:
```
&SYSTEM
  ibrav = 0, nat = 7, ntyp = 3
/
ATOMIC_SPECIES
Ho 164.93 Ho.upf
Al 26.98 Al.upf
Zn 65.41 Zn.upf
ATOMIC_POSITIONS angstrom
Ho 0.0000 0.0000 2.8623
Ho 0.0000 0.0000 8.9612
Ho 0.0000 0.0000 15.1726
Ho 0.0000 0.0000 21.2715
Al 0.0000 0.0000 12.0669
Zn 0.0000 0.0000 5.9256
Zn 0.0000 0.0000 18.2083
CELL_PARAMETERS angstrom
2.4929 1.4393 8.0446
-2.4929 1.4393 8.0446
0.0000 -2.8786 8.0446
```

Computed properties:
DOS at the Fermi energy, states/eV/cell: 7.99
Energy relative to the elements, eV per atom: -0.211
SG: No. 166
Polymorph energy (0 for the lowest one), meV/atom: 0

=====

[2]
DFT (PBE) results for an optimized crystal structure of HoAlZn17. Values from VASP.

The structure in Quantum ESPRESSO input format:
```
&SYSTEM
  ibrav = 0, nat = 19, ntyp = 3
/
ATOMIC_SPECIES
Ho 164.93 Ho.upf
Al 26.98 Al.upf
Zn 65.41 Zn.upf
ATOMIC_POSITIONS angstrom
Ho 0.0000 0.0000 0.0000
Al 0.0000 0.0000 3.3905
Zn 0.0000 -2.5403 2.2610
Zn -2.2000 1.2702 2.2610
Zn -2.2695 -1.3103 6.8184
Zn 0.0000 -2.5788 6.5260
Zn -2.2333 1.2894 6.5260
Zn -1.3069 -2.5241 8.9416
Zn -2.8394 0.1303 8.9416
Zn 2.2000 1.2702 2.2609
Zn 0.0000 0.0000 7.5895
Zn 1.3069 -2.5241 8.9416
Zn -1.5325 2.3938 8.9416
Zn 2.2695 -1.3103 6.8184
Zn 0.0000 2.6205 6.8184
Zn 0.0000 0.0000 10.2119
Zn 2.2333 1.2894 6.5260
Zn 2.8394 0.1303 8.9416
Zn 1.5325 2.3938 8.9416
CELL_PARAMETERS angstrom
4.4405 2.5637 4.4759
-4.4405 2.5637 4.4759
0.0000 -5.1274 4.4759
```

Computed properties:
DOS at the Fermi energy, states/eV/cell: 5.11
Energy relative to the elements, eV per atom: -0.079
SG: No. 160

=====

[3]
DFT (PBE) results for an optimized crystal structure of Ho3Al2Zn7. Values from VASP.

The structure in Quantum ESPRESSO input format:
```
&SYSTEM
  ibrav = 0, nat = 12, ntyp = 3
/
ATOMIC_SPECIES
Ho 164.93 Ho.upf
Al 26.98 Al.upf
Zn 65.41 Zn.upf
ATOMIC_POSITIONS angstrom
Ho 0.0000 0.0000 0.0000
Ho 0.0000 0.0000 4.5713
Ho 0.0000 0.0000 23.0941
Al 0.0000 0.0000 10.1269
Al 0.0000 0.0000 17.5385
Zn 2.0760 0.0000 2.1500
Zn 0.0000 0.0000 7.5848
Zn 2.0760 0.0000 11.6827
Zn 0.0000 0.0000 13.8327
Zn 0.0000 2.0760 2.1500
Zn 0.0000 0.0000 20.0806
Zn 0.0000 2.0760 11.6827
CELL_PARAMETERS angstrom
-2.0760 2.0760 13.8327
2.0760 -2.0760 13.8327
2.0760 2.0760 -13.8327
```

Computed properties:
DOS at the Fermi energy, states/eV/cell: 8.19
Energy relative to the elements, eV per atom: -0.186
SG: No. 139